Record 1
A plane-wave DFT calculation with meta-GGA SCAN was carried out for BaCo2As at its PBEsol-relaxed geometry.

The structure in POSCAR format:
```
BaCo2As
1.0
3.7258 0.0000 0.0000
0.0000 4.7289 0.0000
0.0000 0.0000 5.0371
Ba Co As
1 2 1
direct
0.0000 0.0000 0.0000
0.5000 0.2299 0.5000
0.5000 0.7701 0.5000
0.0000 0.5000 0.5000
```

Output
crystal system = orthorhombic
ρ = 6.2 g/cm3
DFT formation energy = 0.045 eV/atom
spin magnetization = 0.535 μB per atom



Record 2
A plane-wave DFT calculation with meta-GGA SCAN was carried out for NaLiNiB2 at its PBEsol-relaxed geometry.

The structure in POSCAR format:
```
NaLiNiB2
1.0
3.7910 0.0000 0.0000
0.0000 3.7910 0.0000
0.0000 0.0000 3.9428
Na Li Ni B
1 1 1 2
direct
0.0000 0.0000 0.0000
0.5000 0.5000 0.5000
0.5000 0.5000 0.0000
0.0000 0.5000 0.5000
0.5000 0.0000 0.5000
```

Output
crystal system = tetragonal
ρ = 3.2 g/cm3
DFT formation energy = 1.447 eV/atom
spin magnetization = 0.000 μB per atom



Record 3
A plane-wave DFT calculation with meta-GGA SCAN was carried out for CsEuCl3 at its PBEsol-relaxed geometry.

The structure in POSCAR format:
```
CsEuCl3
1.0
7.8604 0.0000 0.0000
0.0000 11.0155 0.0000
0.0000 0.0000 7.6969
Cs Eu Cl
4 4 12
direct
0.0461 0.2500 0.0115
0.4539 0.7500 0.5115
0.5461 0.2500 0.4885
0.9539 0.7500 0.9885
0.0000 0.0000 0.5000
0.0000 0.5000 0.5000
0.5000 0.0000 0.0000
0.5000 0.5000 0.0000
0.0130 0.7500 0.4350
0.2114 0.5345 0.7900
0.2114 0.9655 0.7900
0.2886 0.0345 0.2900
0.2886 0.4655 0.2900
0.4870 0.2500 0.9350
0.5130 0.7500 0.0650
0.7114 0.5345 0.7100
0.7114 0.9655 0.7100
0.7886 0.0345 0.2100
0.7886 0.4655 0.2100
0.9870 0.2500 0.5650
```

Output
crystal system = orthorhombic
ρ = 3.9 g/cm3
formation energy without anion corrections = -2.49 eV per atom
spin magnetization = 1.400 μB per atom



Record 4
A plane-wave DFT calculation with meta-GGA SCAN was carried out for Tc2RuBr at its PBEsol-relaxed geometry.

The structure in POSCAR format:
```
Tc2RuBr
1.0
3.6593 0.0000 0.0000
0.0000 3.6593 0.0000
0.0000 0.0000 4.4081
Tc Ru Br
2 1 1
direct
0.0000 0.5000 0.0000
0.5000 0.0000 0.0000
0.0000 0.0000 0.5000
0.5000 0.5000 0.5000
```

Output
crystal system = tetragonal
ρ = 10.6 g/cm3
formation energy without anion corrections = 1.29 eV per atom
energy above the lowest structure with this stoichiometry = 420.9 meV/atom
spin magnetization = 0.000 μB per atom



Record 5
A plane-wave DFT calculation with meta-GGA SCAN was carried out for Li3VBPO7 at its PBEsol-relaxed geometry.

The structure in POSCAR format:
```
Li3VBPO7
1.0
4.9799 0.0000 0.0000
0.0000 6.2932 0.0000
-0.8419 0.0000 8.2926
Li V B P O
6 2 2 2 14
direct
0.2319 0.2500 0.0948
0.2604 0.0012 0.7588
0.2604 0.4988 0.7588
0.7396 0.5012 0.2412
0.7396 0.9988 0.2412
0.7681 0.7500 0.9052
0.2116 0.7500 0.3174
0.7884 0.2500 0.6826
0.2999 0.7500 0.0383
0.7001 0.2500 0.9617
0.2697 0.2500 0.4198
0.7303 0.7500 0.5802
0.0390 0.7500 0.0846
0.1358 0.2500 0.5776
0.1751 0.0602 0.3085
0.1751 0.4398 0.3085
0.3710 0.7500 0.8862
0.4211 0.7500 0.5418
0.4945 0.7500 0.1742
0.5055 0.2500 0.8258
0.5789 0.2500 0.4582
0.6290 0.2500 0.1138
0.8249 0.5602 0.6915
0.8249 0.9398 0.6915
0.8642 0.7500 0.4224
0.9610 0.2500 0.9154
```

Output
crystal system = monoclinic
ρ = 2.9 g/cm3
formation energy without anion corrections = -2.56 eV per atom
spin magnetization = 0.154 μB per atom



Record 6
A plane-wave DFT calculation with meta-GGA SCAN was carried out for CuGePO2 at its PBEsol-relaxed geometry.

The structure in POSCAR format:
```
CuGePO2
1.0
3.5217 0.0000 0.0000
0.0000 3.5217 0.0000
0.0000 0.0000 5.4022
Cu Ge P O
1 1 1 2
direct
0.0000 0.0000 0.0000
0.5000 0.5000 0.5000
0.5000 0.5000 0.0000
0.0000 0.5000 0.5000
0.5000 0.0000 0.5000
```

Output
crystal system = tetragonal
ρ = 4.9 g/cm3
formation energy without anion corrections = -0.22 eV per atom
spin magnetization = 0.000 μB per atom



Record 7
A plane-wave DFT calculation with meta-GGA SCAN was carried out for SiAgBr2 at its PBEsol-relaxed geometry.

The structure in POSCAR format:
```
SiAgBr2
1.0
3.5592 0.0000 0.0000
0.0000 4.1760 0.0000
0.0000 0.0000 6.2089
Si Ag Br
1 1 2
direct
0.0000 0.0000 0.0000
0.5000 0.0000 0.5000
0.0000 0.5000 0.5000
0.5000 0.5000 0.0000
```

Output
crystal system = orthorhombic
ρ = 5.3 g/cm3
formation energy without anion corrections = 0.32 eV per atom
energy above the lowest structure with this stoichiometry = 268.7 meV/atom
spin magnetization = 0.000 μB per atom



Record 8
A plane-wave DFT calculation with meta-GGA SCAN was carried out for Cd4InPb at its PBEsol-relaxed geometry.

The structure in POSCAR format:
```
Cd4InPb
1.0
0.0000 4.1445 4.1445
4.1445 0.0000 4.1445
4.1445 4.1445 0.0000
Cd In Pb
4 1 1
direct
0.1250 0.1250 0.1250
0.1250 0.1250 0.6249
0.1250 0.6249 0.1250
0.6249 0.1250 0.1250
0.5000 0.5000 0.5000
0.7500 0.7500 0.7500
```

Output
crystal system = cubic
ρ = 9.0 g/cm3
DFT formation energy = 0.074 eV/atom
spin magnetization = 0.000 μB per atom



Record 9
A plane-wave DFT calculation with meta-GGA SCAN was carried out for Ti5Te8 at its PBEsol-relaxed geometry.

The structure in POSCAR format:
```
Ti5Te8
1.0
6.2991 -3.8160 0.0000
6.2991 3.8160 0.0000
-6.2636 0.0000 6.5903
Ti Te
5 8
direct
0.0000 0.0000 0.0000
0.2518 0.2518 0.0176
0.2708 0.7292 0.5000
0.7292 0.2708 0.5000
0.7482 0.7482 0.9824
0.0464 0.0464 0.3402
0.0574 0.5363 0.8278
0.4475 0.4475 0.6697
0.4637 0.9426 0.1722
0.5363 0.0574 0.8278
0.5525 0.5525 0.3303
0.9426 0.4637 0.1722
0.9536 0.9536 0.6598
```

Output
crystal system = monoclinic
ρ = 6.6 g/cm3
formation energy without anion corrections = -0.77 eV per atom
spin magnetization = 0.001 μB per atom



Record 10
A plane-wave DFT calculation with meta-GGA SCAN was carried out for ZrNi2P2 at its PBEsol-relaxed geometry.

The structure in POSCAR format:
```
ZrNi2P2
1.0
-1.8298 1.8298 4.7353
1.8298 -1.8298 4.7353
1.8298 1.8298 -4.7353
Zr Ni P
1 2 2
direct
0.0000 0.0000 0.0000
0.2500 0.7500 0.5000
0.7500 0.2500 0.5000
0.3821 0.3821 0.0000
0.6179 0.6179 0.0000
```

Output
crystal system = tetragonal
ρ = 7.1 g/cm3
DFT formation energy = -0.902 eV/atom
spin magnetization = 0.000 μB per atom



Record 11
A plane-wave DFT calculation with meta-GGA SCAN was carried out for LiZr3Ir at its PBEsol-relaxed geometry.

The structure in POSCAR format:
```
LiZr3Ir
1.0
5.0539 0.0000 0.0000
0.0000 5.0539 0.0000
0.0000 0.0000 5.0539
Li Zr Ir
1 3 1
direct
0.0000 0.0000 0.0000
0.0000 0.5000 0.5000
0.5000 0.0000 0.5000
0.5000 0.5000 0.0000
0.5000 0.5000 0.5000
```

Output
crystal system = cubic
ρ = 6.1 g/cm3
DFT formation energy = 0.087 eV/atom
spin magnetization = 0.189 μB per atom



Record 12
A plane-wave DFT calculation with meta-GGA SCAN was carried out for ZnBN2O at its PBEsol-relaxed geometry.

The structure in POSCAR format:
```
ZnBN2O
1.0
2.9472 0.0000 0.0000
0.0000 2.9472 0.0000
0.0000 0.0000 6.0398
Zn B N O
1 1 2 1
direct
0.0000 0.0000 0.0000
0.5000 0.5000 0.5000
0.0000 0.5000 0.5000
0.5000 0.0000 0.5000
0.5000 0.5000 0.0000
```

Output
crystal system = tetragonal
ρ = 3.8 g/cm3
formation energy without anion corrections = 0.34 eV per atom
spin magnetization = 0.000 μB per atom



Record 13
A plane-wave DFT calculation with meta-GGA SCAN was carried out for ScTcSe2 at its PBEsol-relaxed geometry.

The structure in POSCAR format:
```
ScTcSe2
1.0
-2.1205 2.3840 3.2626
2.1205 -2.3840 3.2626
2.1205 2.3840 -3.2626
Sc Tc Se
1 1 2
direct
0.0000 0.0000 0.0000
0.5000 0.5000 0.0000
0.2687 0.7687 0.5000
0.7313 0.2313 0.5000
```

Output
crystal system = orthorhombic
ρ = 7.6 g/cm3
formation energy without anion corrections = -0.56 eV per atom
energy above the lowest structure with this stoichiometry = 54.8 meV/atom
spin magnetization = 0.191 μB per atom



Record 14
A plane-wave DFT calculation with meta-GGA SCAN was carried out for Zr2Mo at its PBEsol-relaxed geometry.

The structure in POSCAR format:
```
Zr2Mo
1.0
4.5429 0.0000 0.0000
0.0000 4.5429 0.0000
0.0000 0.0000 3.1953
Zr Mo
2 1
direct
0.0000 0.5000 0.0000
0.5000 0.0000 0.0000
0.0000 0.0000 0.5000
```

Output
crystal system = tetragonal
ρ = 7.0 g/cm3
DFT formation energy = 0.450 eV/atom
energy above the lowest structure with this stoichiometry = 446.3 meV/atom
spin magnetization = 0.000 μB per atom



Record 15
A plane-wave DFT calculation with meta-GGA SCAN was carried out for Mg2ZrI at its PBEsol-relaxed geometry.

The structure in POSCAR format:
```
Mg2ZrI
1.0
-4.1343 4.1343 2.9209
4.1343 -4.1343 2.9209
4.1343 4.1343 -2.9209
Mg Zr I
4 2 2
direct
0.1139 0.1250 0.4889
0.3750 0.8861 0.0111
0.6361 0.6250 0.5111
0.8750 0.3639 0.9889
0.2500 0.7500 0.5000
0.5000 0.5000 0.0000
0.0000 0.0000 0.0000
0.7500 0.2500 0.5000
```

Output
crystal system = tetragonal
ρ = 4.4 g/cm3
formation energy without anion corrections = 0.36 eV per atom
spin magnetization = 0.000 μB per atom



Record 16
A plane-wave DFT calculation with meta-GGA SCAN was carried out for SmInPt4 at its PBEsol-relaxed geometry.

The structure in POSCAR format:
```
SmInPt4
1.0
0.0000 3.7826 3.7826
3.7826 0.0000 3.7826
3.7826 3.7826 0.0000
Sm In Pt
1 1 4
direct
0.0000 0.0000 0.0000
0.2500 0.2500 0.2500
0.1264 0.6245 0.6245
0.6245 0.1264 0.6245
0.6245 0.6245 0.1264
0.6245 0.6245 0.6245
```

Output
crystal system = cubic
ρ = 16.0 g/cm3
DFT formation energy = -0.919 eV/atom
spin magnetization = 0.000 μB per atom



Record 17
A plane-wave DFT calculation with meta-GGA SCAN was carried out for LiBe2Fe at its PBEsol-relaxed geometry.

The structure in POSCAR format:
```
LiBe2Fe
1.0
1.1990 0.6923 7.9914
-1.1990 0.6923 7.9914
0.0000 -1.3845 7.9914
Li Be Fe
1 2 1
direct
0.0000 0.0000 0.0000
0.2433 0.2433 0.2433
0.7567 0.7567 0.7567
0.5000 0.5000 0.5000
```

Output
crystal system = trigonal
ρ = 3.4 g/cm3
DFT formation energy = 0.121 eV/atom
spin magnetization = 0.382 μB per atom



Record 18
A plane-wave DFT calculation with meta-GGA SCAN was carried out for MnAu2 at its PBEsol-relaxed geometry.

The structure in POSCAR format:
```
MnAu2
1.0
4.4705 0.0000 0.0000
-2.2352 3.8715 0.0000
0.0000 0.0000 2.7731
Mn Au
1 2
direct
0.0000 0.0000 0.0000
0.3333 0.6667 0.6960
0.6667 0.3333 0.3040
```

Output
crystal system = trigonal
ρ = 15.5 g/cm3
DFT formation energy = -0.264 eV/atom
energy above the lowest structure with this stoichiometry = 173.7 meV/atom
spin magnetization = 1.455 μB per atom



Record 19
A plane-wave DFT calculation with meta-GGA SCAN was carried out for Zn3PdF at its PBEsol-relaxed geometry.

The structure in POSCAR format:
```
Zn3PdF
1.0
4.1330 0.0000 0.0000
0.0000 4.1330 0.0000
0.0000 0.0000 4.1330
Zn Pd F
3 1 1
direct
0.0000 0.0000 0.5000
0.0000 0.5000 0.0000
0.5000 0.0000 0.0000
0.5000 0.5000 0.5000
0.0000 0.0000 0.0000
```

Output
crystal system = cubic
ρ = 7.6 g/cm3
formation energy without anion corrections = -0.32 eV per atom
spin magnetization = 0.000 μB per atom



Record 20
A plane-wave DFT calculation with meta-GGA SCAN was carried out for TcCI2 at its PBEsol-relaxed geometry.

The structure in POSCAR format:
```
TcCI2
1.0
-2.7817 2.7817 5.9327
2.7817 -2.7817 5.9327
2.7817 2.7817 -5.9327
Tc C I
2 2 4
direct
0.0000 0.0000 0.0000
0.7500 0.2500 0.5000
0.2500 0.7500 0.5000
0.5000 0.5000 0.0000
0.1494 0.6250 0.0244
0.3750 0.3994 0.5244
0.6006 0.1250 0.9756
0.8750 0.8506 0.4756
```

Output
crystal system = tetragonal
ρ = 6.6 g/cm3
formation energy without anion corrections = 1.98 eV per atom
spin magnetization = 0.000 μB per atom



Record 21
A plane-wave DFT calculation with meta-GGA SCAN was carried out for Zr2TeP at its PBEsol-relaxed geometry.

The structure in POSCAR format:
```
Zr2TeP
1.0
1.9192 1.1081 6.6141
-1.9192 1.1081 6.6141
0.0000 -2.2161 6.6141
Zr Te P
2 1 1
direct
0.2299 0.2299 0.2299
0.7701 0.7701 0.7701
0.0000 0.0000 0.0000
0.5000 0.5000 0.5000
```

Output
crystal system = trigonal
ρ = 6.7 g/cm3
formation energy without anion corrections = -1.25 eV per atom
spin magnetization = 0.000 μB per atom



Record 22
A plane-wave DFT calculation with meta-GGA SCAN was carried out for Tb2Ga9Ru3 at its PBEsol-relaxed geometry.

The structure in POSCAR format:
```
Tb2Ga9Ru3
1.0
6.3350 -3.7473 0.0000
6.3350 3.7473 0.0000
0.0000 0.0000 9.5713
Tb Ga Ru
4 18 6
direct
0.0017 0.6764 0.7500
0.3236 0.9983 0.7500
0.6764 0.0017 0.2500
0.9983 0.3236 0.2500
0.0105 0.6610 0.0775
0.0105 0.6610 0.4225
0.1342 0.8658 0.2500
0.3378 0.6622 0.5612
0.3378 0.6622 0.9388
0.3390 0.9895 0.0775
0.3390 0.9895 0.4225
0.3408 0.4440 0.2500
0.4440 0.3408 0.7500
0.5560 0.6592 0.2500
0.6592 0.5560 0.7500
0.6610 0.0105 0.5775
0.6610 0.0105 0.9225
0.6622 0.3378 0.0612
0.6622 0.3378 0.4388
0.8658 0.1342 0.7500
0.9895 0.3390 0.5775
0.9895 0.3390 0.9225
0.0000 0.0000 0.0000
0.0000 0.0000 0.5000
0.3235 0.3235 0.0000
0.3235 0.3235 0.5000
0.6765 0.6765 0.0000
0.6765 0.6765 0.5000
```

Output
crystal system = orthorhombic
ρ = 9.1 g/cm3
DFT formation energy = -0.634 eV/atom
spin magnetization = 0.000 μB per atom



Record 23
A plane-wave DFT calculation with meta-GGA SCAN was carried out for BaNaGaPb2 at its PBEsol-relaxed geometry.

The structure in POSCAR format:
```
BaNaGaPb2
1.0
6.1951 0.0000 0.0000
0.0000 6.1951 0.0000
0.0000 0.0000 6.0643
Ba Na Ga Pb
1 1 1 2
direct
0.0000 0.0000 0.0000
0.0000 0.0000 0.5000
0.5000 0.5000 0.5000
0.0000 0.5000 0.0000
0.5000 0.0000 0.0000
```

Output
crystal system = tetragonal
ρ = 4.6 g/cm3
DFT formation energy = 0.803 eV/atom
spin magnetization = 0.000 μB per atom



Record 24
A plane-wave DFT calculation with meta-GGA SCAN was carried out for ReTc at its PBEsol-relaxed geometry.

The structure in POSCAR format:
```
ReTc
1.0
2.7361 0.0000 0.0000
-1.3680 2.3695 0.0000
0.0000 0.0000 8.8162
Re Tc
2 2
direct
0.3333 0.6667 0.3724
0.6667 0.3333 0.6276
0.3333 0.6667 0.8765
0.6667 0.3333 0.1235
```

Output
crystal system = trigonal
ρ = 16.5 g/cm3
DFT formation energy = -0.004 eV/atom
energy above the lowest structure with this stoichiometry = 8.8 meV/atom
spin magnetization = 0.000 μB per atom